(1)
LiHg2Pt2 | GGA-PBEsol | relaxed

The structure in CIF format:
```
data_LiHg2Pt2
_cell_length_a 3.814
_cell_length_b 3.814
_cell_length_c 13.414
_cell_angle_alpha 90.00
_cell_angle_beta 90.00
_cell_angle_gamma 90.00
_symmetry_space_group_name_H-M 'I 4/m m m'
_symmetry_Int_Tables_number 139
_symmetry_space_group_name_Hall '-I 4 2'
loop_
_atom_site_label
_atom_site_fract_x
_atom_site_fract_y
_atom_site_fract_z
Li1 0.000 0.000 0.000
Hg1 0.000 0.000 0.399
Pt1 0.000 0.500 0.250
```


(2)
LiHgPt | GGA-PBEsol | relaxed

The structure in CIF format:
```
data_LiHgPt
_cell_length_a 2.876
_cell_length_b 3.937
_cell_length_c 8.475
_cell_angle_alpha 90.00
_cell_angle_beta 90.00
_cell_angle_gamma 90.00
_symmetry_space_group_name_H-M 'I m m 2'
_symmetry_Int_Tables_number 44
_symmetry_space_group_name_Hall 'I 2 -2'
loop_
_atom_site_label
_atom_site_fract_x
_atom_site_fract_y
_atom_site_fract_z
Li1 0.000 0.000 0.000
Hg1 0.000 0.000 0.675
Pt1 0.000 0.000 0.348
```

- distance to the lowest polymorph of the same formula (eV per atom) = 0.000


(3)
LiHg2Pt | GGA-PBEsol | relaxed

The structure in CIF format:
```
data_LiHg2Pt
_cell_length_a 4.244
_cell_length_b 4.244
_cell_length_c 3.778
_cell_angle_alpha 90.00
_cell_angle_beta 90.00
_cell_angle_gamma 90.00
_symmetry_space_group_name_H-M 'P 4/m m m'
_symmetry_Int_Tables_number 123
_symmetry_space_group_name_Hall '-P 4 2'
loop_
_atom_site_label
_atom_site_fract_x
_atom_site_fract_y
_atom_site_fract_z
Li1 0.000 0.000 0.000
Hg1 0.000 0.500 0.500
Pt1 0.500 0.500 0.000
```

- distance to the lowest polymorph of the same formula (eV per atom) = 0.036


| no. | E_tot (eV per atom) | V (Å³ per atom) |
| --- | --- | --- |
| 1 | -3.4746 | 19.5 |
| 2 | -3.5116 | 16.0 |
| 3 | -2.7969 | 17.0 |